Compound: AcEuTlGe
Source: the Alexandria database
Functional: PBE
Structure: optimized geometry

a b c (Å): 7.8932 7.8932 7.8932
angles (deg): 90.00 90.00 90.00
With the nearest neighbours (Å) after each atom.
Space group F-43m (No. 216)
Unique sites:
1 Ac 0.0000 0.0000 0.0000 x4  4 Ge 3.42, 4 Tl 3.42
2 Eu 0.0000 0.0000 0.5000 x4  4 Ge 3.42, 4 Tl 3.42
3 Tl 0.2500 0.2500 0.7500 x4  4 Ac 3.42, 4 Eu 3.42
4 Ge 0.2500 0.2500 0.2500 x4  4 Ac 3.42, 4 Eu 3.42

The formation energy comes out at -440.9 meV/atom.


Compound: Al2CrSe
Source: the Alexandria database
Functional: PBE
Structure: optimized geometry

a b c (Å): 6.5218 6.5218 6.5218
angles (deg): 90.00 90.00 90.00
With the nearest neighbours (Å) after each atom.
Space group F-43m (No. 216)
Unique sites:
1 Al 0.0000 0.0000 0.0000 x4  4 Cr 2.82, 4 Al 2.82
2 Al 0.2500 0.2500 0.2500 x4  4 Al 2.82, 4 Se 2.82
3 Cr 0.2500 0.2500 0.7500 x4  4 Se 2.82, 4 Al 2.82
4 Se 0.0000 0.0000 0.5000 x4  4 Al 2.82, 4 Cr 2.82

The uncorrected formation energy comes out at 0.265 eV/atom.


Compound: CdTeCl2
Source: the Alexandria database
Functional: PBE
Structure: optimized geometry

a b c (Å): 8.6861 8.6861 6.3792
angles (deg): 90.00 90.00 90.00
With the nearest neighbours (Å) after each atom.
Space group I-42d (No. 122)
Unique sites:
1 Cd 0.0000 0.0000 0.0000 x4  4 Cl 2.65
2 Te 0.0000 0.0000 0.5000 x4  2 Cd 3.19, 4 Cl 3.48
3 Cl 0.1479 0.2500 0.1250 x8  2 Cd 2.65

The uncorrected formation energy comes out at -0.243 eV/atom.


Compound: Li2FeCu2
Source: the Alexandria database
Functional: PBE
Structure: optimized geometry

a b c (Å): 6.9679 6.9679 2.5357
angles (deg): 90.00 90.00 90.00
With the nearest neighbours (Å) after each atom.
Space group P4/mbm (No. 127)
Unique sites:
1 Li 0.1216 0.3784 0.0000 x4  6 Cu 2.33-2.49, 3 Li 2.40-2.54
2 Fe 0.0000 0.0000 0.0000 x2  2 Fe 2.54, 4 Li 2.77
3 Cu 0.1798 0.6798 0.5000 x4  6 Li 2.33-2.49, 2 Cu 2.54

The formation energy comes out at 230.7 meV/atom.


Compound: Cr6P7
Source: the Alexandria database
Functional: PBE
Structure: optimized geometry

a b c (Å): 4.6102 4.6102 28.8091
angles (deg): 90.00 90.00 120.00
With the nearest neighbours (Å) after each atom.
Space group R-3m (No. 166, hexagonal axes)
Unique sites:
1 Cr 0.0000 0.0000 0.0404 x6  1 Cr 2.33, 6 P 2.47
2 Cr 0.0000 0.0000 0.1940 x6  3 P 2.38
3 Cr 0.0000 0.0000 0.3288 x6  6 P 2.36-2.55
4 P 0.0000 0.0000 0.5000 x3  6 Cr 2.78, 6 P 3.03
5 P 0.0067 0.5034 0.0715 x18  4 P 2.26-2.35, 4 Cr 2.36-2.47

The formation energy comes out at 254.1 meV/atom.


Compound: MgCdCu2
Source: the Alexandria database
Functional: PBE
Structure: optimized geometry

a b c (Å): 3.3873 4.3243 8.7408
angles (deg): 90.00 90.00 90.00
With the nearest neighbours (Å) after each atom.
Space group Imm2 (No. 44)
Unique sites:
1 Mg 0.0000 0.0000 0.0000 x2  8 Cu 2.76-3.00, 4 Cd 2.93
2 Cd 0.0000 0.5000 0.2261 x2  8 Cu 2.76-3.06, 4 Mg 2.93
3 Cu 0.0000 0.0000 0.4734 x2  2 Cu 2.51, 4 Mg 2.76, 2 Cd 2.78
4 Cu 0.0000 0.5000 0.7615 x2  2 Cu 2.51, 4 Cd 2.76

The formation energy comes out at -39.5 meV/atom.


Number 1: density of states at the Fermi level 7.011 states/eV/f.u., calculated volume 491.8 Å³/cell, total moment 1.813 μB per atom. Number 2: density of states at the Fermi level 1.737 states/eV/f.u., calculated volume 277.4 Å³/cell, total moment 0.819 μB per atom. Number 3: density of states at the Fermi level 0.982 states/eV/f.u., calculated volume 481.3 Å³/cell, total moment 0.500 μB per atom. Number 4: density of states at the Fermi level 2.410 states/eV/f.u., calculated volume 123.1 Å³/cell, total moment 0.567 μB per atom. Number 5: density of states at the Fermi level 7.453 states/eV/f.u., calculated volume 530.3 Å³/cell, total moment 0.387 μB per atom. Number 6: density of states at the Fermi level 1.065 states/eV/f.u., calculated volume 128.0 Å³/cell, total moment 0.000 μB per atom.